[1]
A relaxed K2MnV4O12 crystal, computed with PBEsol.

Structure (POSCAR):
```
K2MnV4O12
1.0
8.2248 -0.0029 0.0000
-2.8606 7.9608 0.0000
0.0000 0.0000 9.0878
K Mn V O
4 2 8 24
direct
0.6341 0.9058 0.2928 K
0.8659 0.5942 0.7928 K
0.3659 0.0942 0.7072 K
0.1341 0.4058 0.2072 K
0.5000 0.5000 0.5000 Mn
0.0000 0.0000 0.0000 Mn
0.7129 0.2469 0.0524 V
0.7871 0.2531 0.5524 V
0.2871 0.7531 0.9476 V
0.2129 0.7469 0.4476 V
0.3410 0.1294 0.2744 V
0.1590 0.3706 0.7744 V
0.6590 0.8706 0.7256 V
0.8410 0.6294 0.2256 V
0.6537 0.2435 0.8807 O
0.8463 0.2565 0.3807 O
0.3463 0.7565 0.1193 O
0.1537 0.7435 0.6193 O
0.8484 0.1374 0.0693 O
0.6516 0.3626 0.5693 O
0.1516 0.8626 0.9307 O
0.3484 0.6374 0.4307 O
0.1677 0.0956 0.1682 O
0.3323 0.4044 0.6682 O
0.8323 0.9044 0.8318 O
0.6677 0.5956 0.3318 O
0.3643 0.3058 0.3676 O
0.1357 0.1942 0.8676 O
0.8236 0.4648 0.0969 O
0.6764 0.0352 0.5969 O
0.1764 0.5352 0.9031 O
0.3236 0.9648 0.4031 O
0.0274 0.6547 0.3347 O
0.4726 0.8453 0.8347 O
0.9726 0.3453 0.6653 O
0.5274 0.1547 0.1653 O
0.8643 0.8058 0.1324 O
0.6357 0.6942 0.6324 O
```

Calculated values
The space group is P2_1/c, No. 14. The value obtained for the total energy is -313.14 eV/cell.


[2]
A relaxed KMn2Os crystal, computed with PBEsol.

Structure (POSCAR):
```
KMn2Os
1.0
-0.6464 0.0669 -2.5651
3.7989 -2.9356 -1.0338
-4.5080 -2.5827 2.4335
K Mn Os
1 2 1
direct
0.7528 0.2528 0.5056 K
0.9663 0.9663 0.9326 Mn
0.2447 0.7447 0.4895 Mn
0.5362 0.5362 0.0723 Os
```

Calculated values
The space group is Imm2, No. 44. The calculation puts the calculated formation energy at 1.23 eV per atom. The value obtained for the total energy is -27.94 eV/cell.


no.,magnetic moment (μB/cell)
1,10.001
2,5.366